Record 1
DFT (PBE) results for MgZnP2 after structural relaxation.

Computed properties:
The formation energy is 0.175 eV per atom. Its excess energy over the best structure of this formula in the dataset is 332 meV per atom. As for the space group: Fm-3m (225).

Lattice parameters (Å, degrees): 4.5446 4.5446 4.5446 60.00 60.00 60.00
With the nearest neighbours (Å) after each atom.
Element x y z (fractional)
Mg 0.0000 0.0000 0.0000  8 P 2.78
Zn 0.5000 0.5000 0.5000  8 P 2.78
P 0.2500 0.2500 0.2500  4 Mg 2.78, 4 Zn 2.78
P 0.7500 0.7500 0.7500  4 Mg 2.78, 4 Zn 2.78

Record 2
DFT (PBE) results for TcWN after structural relaxation.

Computed properties:
Its excess energy over the best structure of this formula in the dataset is 69 meV per atom. As for the space group: C2/m (12). For the formation energy from raw total energies, the calculation gives -0.065 eV/atom.

Lattice parameters (Å, degrees): 5.2136 5.2136 5.0250 99.37 99.37 31.99
With the nearest neighbours (Å) after each atom.
Element x y z (fractional)
Tc 0.1442 0.1442 0.3821  3 N 2.19-2.20
Tc 0.8558 0.8558 0.6179  3 N 2.19-2.20
W 0.3625 0.3625 0.1270  3 N 2.13-2.16
W 0.6375 0.6375 0.8730  3 N 2.13-2.16
N 0.0000 0.0000 0.0000  4 W 2.16, 2 Tc 2.20
N 0.5000 0.5000 0.5000  2 W 2.13, 4 Tc 2.19

Record 3
DFT (PBE) results for ZrFe2SN after structural relaxation.

Computed properties:
As for the space group: P4/mmm (123). For the formation energy from raw total energies, the calculation gives 1.327 eV/atom.

Lattice parameters (Å, degrees): 4.9827 4.9827 3.9579 90.00 90.00 90.00
With the nearest neighbours (Å) after each atom.
Element x y z (fractional)
Zr 0.0000 0.0000 0.0000  2 N 1.98
Fe 0.0000 0.5000 0.0000  2 Zr 2.49
Fe 0.5000 0.0000 0.0000  2 Zr 2.49
S 0.5000 0.5000 0.5000  8 Fe 3.18, 4 N 3.52
N 0.0000 0.0000 0.5000  2 Zr 1.98

Record 4
DFT (PBE) results for CuAg5As3O11 after structural relaxation.

Computed properties:
As for the space group: P-1 (2). For the formation energy from raw total energies, the calculation gives -0.727 eV/atom.

Lattice parameters (Å, degrees): 6.0505 9.1287 10.6478 97.57 93.84 91.98
With the nearest neighbours (Å) after each atom.
Element x y z (fractional)
Cu 0.0000 0.0000 0.0000  4 O 1.97-1.98
Cu 0.5000 0.0000 0.5000  4 O 1.97-1.98
Ag 0.0655 0.0439 0.6646  2 O 2.24-2.26
Ag 0.1793 0.3434 0.8025  3 O 2.32-2.50
Ag 0.2498 0.6464 0.3693  5 O 2.34-2.60
Ag 0.2613 0.6733 0.6629  5 O 2.43-2.70
Ag 0.3040 0.3243 0.1565  4 O 2.35-2.46
Ag 0.6960 0.6757 0.8435  4 O 2.35-2.46
Ag 0.7387 0.3267 0.3371  5 O 2.43-2.70
Ag 0.7502 0.3536 0.6307  5 O 2.34-2.60
Ag 0.8207 0.6566 0.1975  3 O 2.32-2.50
Ag 0.9345 0.9561 0.3354  2 O 2.24-2.26
As 0.2311 0.6796 0.0237  4 O 1.70-1.82
As 0.2371 0.2980 0.4829  4 O 1.72-1.76
As 0.4438 0.9663 0.1970  4 O 1.70-1.80
As 0.5562 0.0337 0.8030  4 O 1.70-1.80
As 0.7629 0.7020 0.5171  4 O 1.72-1.76
As 0.7689 0.3204 0.9763  4 O 1.70-1.82
O 0.0025 0.7900 0.0240  1 As 1.74
O 0.0129 0.1816 0.5049  1 As 1.74
O 0.1490 0.3960 0.3626  1 As 1.72
O 0.1840 0.5617 0.1314  1 As 1.70
O 0.2310 0.0649 0.1386  1 As 1.72
O 0.3021 0.9460 0.7986  1 As 1.70
O 0.3144 0.6005 0.8823  1 As 1.70
O 0.3315 0.4084 0.6219  1 As 1.73
O 0.3758 0.8972 0.3348  1 As 1.74
O 0.4588 0.1905 0.4333  1 As 1.76
O 0.4691 0.8018 0.0857  2 As 1.80-1.82
O 0.5309 0.1982 0.9143  2 As 1.80-1.82
O 0.5412 0.8095 0.5667  1 As 1.76
O 0.6242 0.1028 0.6652  1 As 1.74
O 0.6685 0.5916 0.3781  1 As 1.73
O 0.6856 0.3995 0.1177  1 As 1.70
O 0.6979 0.0540 0.2014  1 As 1.70
O 0.7690 0.9351 0.8614  1 As 1.72
O 0.8160 0.4383 0.8686  1 As 1.70
O 0.8510 0.6040 0.6374  1 As 1.72
O 0.9871 0.8184 0.4951  1 As 1.74
O 0.9975 0.2100 0.9760  1 As 1.74